Entry 1:
Computed, not measured: a relaxed structure of Be2CoSe at the PBE-GGA level of DFT.

The structure belongs to space group Pm (No. 6); the cell edges are 2.688, 3.532 and 5.284 Å and the angles 90.00°, 104.55° and 90.00°. The distinct sites, in fractional coordinates, are Be at (0.000, 0.000, 0.000), Be at (0.125, 0.500, 0.253), Co at (0.663, 0.000, 0.329) and Se at (0.843, 0.500, 0.687).

The uncorrected formation energy is 0.047 eV per atom. Its magnetization is 0.00 μB/cell.

---

Entry 2:
Computed, not measured: a relaxed structure of Be2CoSe at the PBE-GGA level of DFT.

The structure belongs to space group R3m (No. 160, hexagonal axes); the cell edges are 2.8087, 2.8087 and 21.2171 Å and the angles 90.00°, 90.00° and 120.00°. The distinct sites, in fractional coordinates, are Be at (0.0000, 0.0000, 0.0000), Be at (0.0000, 0.0000, 0.2557), Co at (0.0000, 0.0000, 0.5104) and Se at (0.0000, 0.0000, 0.7616).

The uncorrected formation energy is 0.403 eV per atom. Its magnetization is 1.73 μB/cell.

---

Entry 3:
Computed, not measured: a relaxed structure of BeCoSe at the PBE-GGA level of DFT.

The structure belongs to space group F-43m (No. 216); the cell edges are 5.357, 5.357 and 5.357 Å and the angles 90.00°, 90.00° and 90.00°. The distinct sites, in fractional coordinates, are Be at (0.000, 0.000, 0.000), Co at (0.250, 0.250, 0.250) and Se at (0.000, 0.000, 0.500).

The relative energy among the computed polymorphs is 0.000 eV/atom. The uncorrected formation energy is -0.063 eV per atom. Its magnetization is 0.00 μB/cell.

---

Entry 4:
Computed, not measured: a relaxed structure of Be2CoSe at the PBE-GGA level of DFT.

The structure belongs to space group I-4m2 (No. 119); the cell edges are 3.405, 3.405 and 7.624 Å and the angles 90.00°, 90.00° and 90.00°. The distinct sites, in fractional coordinates, are Be at (0.000, 0.000, 0.000), Be at (0.000, 0.500, 0.250), Co at (0.000, 0.500, 0.750) and Se at (0.000, 0.000, 0.500).

The uncorrected formation energy is 0.213 eV per atom. Its magnetization is 0.04 μB/cell.

---

Entry 5:
Computed, not measured: a relaxed structure of Be2CoSe at the PBE-GGA level of DFT.

The structure belongs to space group P4/mmm (No. 123); the cell edges are 2.630, 2.630 and 7.879 Å and the angles 90.00°, 90.00° and 90.00°. The distinct sites, in fractional coordinates, are Be at (0.000, 0.000, 0.144), Co at (0.500, 0.500, 0.000) and Se at (0.500, 0.500, 0.500).

The uncorrected formation energy is 0.117 eV per atom. Its magnetization is 0.00 μB/cell.

---

Entry 6:
Computed, not measured: a relaxed structure of Be2CoSe at the PBE-GGA level of DFT.

The structure belongs to space group R-3m (No. 166, hexagonal axes); the cell edges are 2.8475, 2.8475 and 20.4989 Å and the angles 90.00°, 90.00° and 120.00°. The distinct sites, in fractional coordinates, are Be at (0.0000, 0.0000, 0.2418), Co at (0.0000, 0.0000, 0.5000) and Se at (0.0000, 0.0000, 0.0000).

The uncorrected formation energy is 0.389 eV per atom. Its magnetization is 0.00 μB/cell.

---

Q: Number 6 is which compound?
A: Be2CoSe